1.
An optimized crystal structure of AcTh2Ru. Source: Alexandria, functional PBE.

Calculated values
Fermi-level density of states in states/eV/cell: 20.3
Excess energy over the best structure of this formula in the dataset in eV per formula unit: 0.74
E_tot in eV/atom: -7.070
Size of the total moment in μB/cell: 0.01
Energy of formation from the pure elements in eV/atom: -0.014

Cell: 3.9508 3.9508 31.8021 Å, 90.00 90.00 120.00°
Space group R-3m (No. 166, hexagonal axes)
Asymmetric unit:
Ac (0.0000, 0.0000, 0.0000)
Th (0.0000, 0.0000, 0.1160)
Ru (0.0000, 0.0000, 0.5000)



2.
An optimized crystal structure of AcTh2Ru. Source: Alexandria, functional PBE.

Calculated values
Fermi-level density of states in states/eV/cell: 6.0
Excess energy over the best structure of this formula in the dataset in eV per formula unit: 0.45
E_tot in eV/atom: -7.144
Size of the total moment in μB/cell: 0.00
Energy of formation from the pure elements in eV/atom: -0.088

Cell: 3.659 3.659 8.930 Å, 90.00 90.00 90.00°
Space group P4/mmm (No. 123)
Asymmetric unit:
Ac (0.000, 0.000, 0.000)
Th (0.500, 0.500, 0.318)
Ru (0.000, 0.000, 0.500)



3.
An optimized crystal structure of AcTh2Ru. Source: Alexandria, functional PBE.

Calculated values
Fermi-level density of states in states/eV/cell: 14.1
Excess energy over the best structure of this formula in the dataset in eV per formula unit: 0.00
E_tot in eV/atom: -7.256
Size of the total moment in μB/cell: 0.00
Energy of formation from the pure elements in eV/atom: -0.200

Cell: 4.0545 4.0545 28.2313 Å, 90.00 90.00 120.00°
Space group R3m (No. 160, hexagonal axes)
Asymmetric unit:
Ac (0.0000, 0.0000, 0.0000)
Th (0.0000, 0.0000, 0.5548)
Th (0.0000, 0.0000, 0.7773)
Ru (0.0000, 0.0000, 0.1653)



4.
An optimized crystal structure of AcThRu4. Source: Alexandria, functional PBE.

Calculated values
Fermi-level density of states in states/eV/cell: 15.7
E_tot in eV/atom: -8.231
Size of the total moment in μB/cell: 0.00
Energy of formation from the pure elements in eV/atom: -0.125

Cell: 7.759 7.759 7.759 Å, 90.00 90.00 90.00°
Space group F-43m (No. 216)
Asymmetric unit:
Ac (0.000, 0.000, 0.000)
Th (0.250, 0.250, 0.250)
Ru (0.125, 0.125, 0.625)